1.
Material: Pr5Ru2Pt
Method: DFT, PBE-GGA
State: relaxed

a = 8.883 Å, b = 8.883 Å, c = 8.883 Å
α = 128.10°, β = 128.10°, γ = 76.46°
Sites, in units of the cell vectors:
Pr  0.000  0.000  0.000
Pr  0.030  0.530  0.840
Pr  0.191  0.030  0.500
Pr  0.309  0.809  0.840
Pr  0.470  0.309  0.500
Pr  0.500  0.500  0.000
Pr  0.530  0.691  0.500
Pr  0.691  0.191  0.160
Pr  0.809  0.970  0.500
Pr  0.970  0.470  0.160
Ru  0.131  0.369  0.500
Ru  0.369  0.869  0.238
Ru  0.631  0.131  0.762
Ru  0.869  0.631  0.500
Pt  0.250  0.250  0.000
Pt  0.750  0.750  0.000

Values from the calculation:
* space-group type: No. 140
* N(E_F): 0.700 states/eV/atom
* formation energy: -0.405 eV/atom

2.
Material: PrScRuPt
Method: DFT, PBE-GGA
State: relaxed

a = 4.852 Å, b = 4.852 Å, c = 4.852 Å
α = 60.00°, β = 60.00°, γ = 60.00°
Sites, in units of the cell vectors:
Pr  0.000  0.000  0.000
Sc  0.500  0.500  0.500
Ru  0.750  0.750  0.750
Pt  0.250  0.250  0.250

Values from the calculation:
* space-group type: No. 216
* N(E_F): 0.604 states/eV/atom
* formation energy: -0.616 eV/atom

3.
Material: PrTmRuPt
Method: DFT, PBE-GGA
State: relaxed

a = 4.945 Å, b = 4.945 Å, c = 4.945 Å
α = 60.00°, β = 60.00°, γ = 60.00°
Sites, in units of the cell vectors:
Pr  0.000  0.000  0.000
Tm  0.500  0.500  0.500
Ru  0.750  0.750  0.750
Pt  0.250  0.250  0.250

Values from the calculation:
* space-group type: No. 216
* N(E_F): 0.607 states/eV/atom
* formation energy: -0.651 eV/atom

4.
Material: PrYRuPt
Method: DFT, PBE-GGA
State: relaxed

a = 4.983 Å, b = 4.983 Å, c = 4.983 Å
α = 60.00°, β = 60.00°, γ = 60.00°
Sites, in units of the cell vectors:
Pr  0.000  0.000  0.000
Y  0.500  0.500  0.500
Ru  0.250  0.250  0.250
Pt  0.750  0.750  0.750

Values from the calculation:
* space-group type: No. 216
* N(E_F): 0.644 states/eV/atom
* formation energy: -0.614 eV/atom

5.
Material: Pr2PtS
Method: DFT, PBE-GGA
State: relaxed

a = 11.852 Å, b = 11.852 Å, c = 4.290 Å
α = 90.00°, β = 90.00°, γ = 160.58°
Sites, in units of the cell vectors:
Pr  0.066  0.934  0.750
Pr  0.314  0.686  0.750
Pr  0.686  0.314  0.250
Pr  0.934  0.066  0.250
Pt  0.455  0.545  0.750
Pt  0.545  0.455  0.250
S  0.190  0.810  0.750
S  0.810  0.190  0.250

Values from the calculation:
* space-group type: No. 63
* energy above the most stable polymorph in this dataset: 0.000 eV per atom
* N(E_F): 0.651 states/eV/atom
* ΔE_f (raw): -1534 meV per atom

6.
Material: Pr6Pt2S
Method: DFT, PBE-GGA
State: relaxed

a = 6.810 Å, b = 7.510 Å, c = 12.316 Å
α = 90.00°, β = 120.98°, γ = 90.00°
Sites, in units of the cell vectors:
Pr  0.091  0.186  0.428
Pr  0.091  0.314  0.928
Pr  0.254  0.670  0.429
Pr  0.254  0.830  0.929
Pr  0.402  0.041  0.247
Pr  0.402  0.459  0.747
Pr  0.598  0.541  0.253
Pr  0.598  0.959  0.753
Pr  0.746  0.170  0.071
Pr  0.746  0.330  0.571
Pr  0.909  0.686  0.072
Pr  0.909  0.814  0.572
Pt  0.175  0.117  0.737
Pt  0.175  0.383  0.237
Pt  0.825  0.617  0.763
Pt  0.825  0.883  0.263
S  0.500  0.000  0.500
S  0.500  0.500  0.000

Values from the calculation:
* space-group type: No. 14
* N(E_F): 1.076 states/eV/atom
* ΔE_f (raw): -929 meV per atom

7.
Material: Pr2PtS
Method: DFT, PBE-GGA
State: relaxed

a = 7.767 Å, b = 7.767 Å, c = 7.767 Å
α = 30.54°, β = 30.54°, γ = 30.54°
Sites, in units of the cell vectors:
Pr  0.000  0.000  0.000
Pr  0.176  0.176  0.176
Pt  0.588  0.588  0.588
S  0.420  0.420  0.420

Values from the calculation:
* space-group type: No. 160
* energy above the most stable polymorph in this dataset: 0.136 eV per atom
* N(E_F): 0.704 states/eV/atom
* ΔE_f (raw): -1397 meV per atom

8.
Material: Pr4PtS3
Method: DFT, PBE-GGA
State: relaxed

a = 7.242 Å, b = 7.242 Å, c = 4.096 Å
α = 90.00°, β = 90.00°, γ = 109.22°
Sites, in units of the cell vectors:
Pr  0.247  0.753  0.000
Pr  0.250  0.250  0.500
Pr  0.750  0.750  0.500
Pr  0.753  0.247  0.000
Pt  0.500  0.500  0.000
S  0.000  0.000  0.000
S  0.000  0.500  0.500
S  0.500  0.000  0.500

Values from the calculation:
* space-group type: No. 65
* N(E_F): 0.491 states/eV/atom
* ΔE_f (raw): -1759 meV per atom